Entry 1:
Entry from Alexandria via LeMat-Bulk: a relaxed structure of CdTcPt2 (PBE).

a b c (Å): 3.2692 3.2692 6.2303
angles (deg): 90.00 90.00 90.00
Closest atoms and distances in Å follow each position.
Fractional coordinates of all 4 atoms:
Cd  0.5000  0.5000  0.7552  5 Pt 2.82-3.07, 4 Tc 2.93
Pt  0.5000  0.5000  0.2631  4 Tc 2.64, 4 Pt 2.78
Pt  0.0000  0.0000  0.0150  4 Pt 2.78, 1 Tc 2.81, 4 Cd 2.82
Tc  0.0000  0.0000  0.4667  5 Pt 2.64-2.81, 4 Cd 2.93

ρ: 15.0 Mg/m³
Energy of formation from the pure elements: 43 kJ/mol of formula units
Space-group type: No. 99
Fermi-level density of states: 3.85 states/eV/cell

Entry 2:
Entry from Alexandria via LeMat-Bulk: a relaxed structure of CdTcPt2 (PBE).

a b c (Å): 2.8071 2.8071 8.2265
angles (deg): 90.00 90.00 90.00
Closest atoms and distances in Å follow each position.
Fractional coordinates of all 4 atoms:
Pt  0.0000  0.0000  0.4790  4 Tc 2.74, 4 Pt 2.81, 4 Cd 2.99
Pt  0.0000  0.0000  0.0210  4 Tc 2.74, 4 Pt 2.81, 4 Cd 2.99
Cd  0.5000  0.5000  0.7500  4 Cd 2.81, 8 Pt 2.99
Tc  0.5000  0.5000  0.2500  8 Pt 2.74, 4 Tc 2.81

ρ: 15.4 Mg/m³
Energy of formation from the pure elements: -82 kJ/mol of formula units
Space-group type: No. 123
Fermi-level density of states: 2.95 states/eV/cell

Entry 3:
Entry from Alexandria via LeMat-Bulk: a relaxed structure of Cd2TcPt9 (PBE).

a b c (Å): 3.9930 3.9930 12.1022
angles (deg): 90.00 90.00 90.00
Closest atoms and distances in Å follow each position.
Fractional coordinates of all 12 atoms:
Pt  0.5000  0.5000  0.0000  8 Pt 2.76, 4 Tc 2.82
Pt  0.0000  0.5000  0.1570  2 Tc 2.76, 8 Pt 2.76-2.89, 2 Cd 2.91
Tc  0.0000  0.0000  0.0000  12 Pt 2.76-2.82
Pt  0.5000  0.0000  0.1570  2 Tc 2.76, 8 Pt 2.76-2.89, 2 Cd 2.91
Pt  0.5000  0.0000  0.8430  2 Tc 2.76, 8 Pt 2.76-2.89, 2 Cd 2.91
Pt  0.5000  0.5000  0.3302  4 Cd 2.82, 8 Pt 2.87-2.89
Pt  0.0000  0.5000  0.8430  2 Tc 2.76, 8 Pt 2.76-2.89, 2 Cd 2.91
Cd  0.0000  0.0000  0.6685  12 Pt 2.82-2.91
Pt  0.5000  0.5000  0.6698  4 Cd 2.82, 8 Pt 2.87-2.89
Pt  0.0000  0.5000  0.5000  8 Pt 2.82-2.87, 4 Cd 2.85
Cd  0.0000  0.0000  0.3315  12 Pt 2.82-2.91
Pt  0.5000  0.0000  0.5000  8 Pt 2.82-2.87, 4 Cd 2.85

ρ: 17.9 Mg/m³
Energy of formation from the pure elements: -202 kJ/mol of formula units
Space-group type: No. 123
Fermi-level density of states: 13.02 states/eV/cell